[1]
! Ac2MgHg3, relaxed, DFT PBE; values from VASP
! - energy of formation from the pure elements (meV per atom) = -438
! - distance to the lowest polymorph of the same formula (meV per atom) = 0
! - calculated density (g/cm3) = 10.0
! - symmetry = No. 164
! - energy (eV/atom) = -2.22
&SYSTEM
  ibrav = 0, nat = 12, ntyp = 3
/
ATOMIC_SPECIES
Ac 227.00 Ac.upf
Mg 24.30 Mg.upf
Hg 200.59 Hg.upf
ATOMIC_POSITIONS crystal
Ac 0.0000 0.0000 0.5000
Ac 0.3333 0.6667 0.1904
Ac 0.6667 0.3333 0.8096
Ac 0.0000 0.0000 0.0000
Mg 0.3333 0.6667 0.6558
Mg 0.6667 0.3333 0.3442
Hg 0.3333 0.6667 0.4216
Hg 0.6667 0.3333 0.0951
Hg 0.0000 0.0000 0.7385
Hg 0.0000 0.0000 0.2615
Hg 0.3333 0.6667 0.9049
Hg 0.6667 0.3333 0.5784
CELL_PARAMETERS angstrom
-0.9662 0.7644 5.2939
3.9013 -3.4381 -1.5818
9.3347 10.5067 0.1867



[2]
! AcMg2Hg6, relaxed, DFT PBE; values from VASP
! - energy of formation from the pure elements (meV per atom) = -208
! - distance to the lowest polymorph of the same formula (meV per atom) = 0
! - calculated density (g/cm3) = 10.6
! - symmetry = No. 12
! - energy (eV/atom) = -1.22
&SYSTEM
  ibrav = 0, nat = 9, ntyp = 3
/
ATOMIC_SPECIES
Ac 227.00 Ac.upf
Mg 24.30 Mg.upf
Hg 200.59 Hg.upf
ATOMIC_POSITIONS crystal
Ac 0.0000 0.0000 0.0000
Mg 0.8598 0.5217 0.7587
Mg 0.1402 0.4783 0.2413
Hg 0.6852 0.1110 0.5185
Hg 0.3148 0.8890 0.4815
Hg 0.3139 0.2637 0.1084
Hg 0.4923 0.6696 0.3459
Hg 0.5077 0.3304 0.6541
Hg 0.6861 0.7363 0.8916
CELL_PARAMETERS angstrom
3.6677 0.0000 1.0744
0.9099 9.8119 3.6911
-0.1051 2.0847 7.1561



[3]
! Ac5Mg4Hg, relaxed, DFT PBE; values from VASP
! - energy of formation from the pure elements (meV per atom) = -156
! - calculated density (g/cm3) = 6.9
! - symmetry = No. 123
! - energy (eV/atom) = -2.88
&SYSTEM
  ibrav = 0, nat = 10, ntyp = 3
/
ATOMIC_SPECIES
Ac 227.00 Ac.upf
Mg 24.30 Mg.upf
Hg 200.59 Hg.upf
ATOMIC_POSITIONS crystal
Ac 0.5000 0.5000 0.0976
Ac 0.5000 0.5000 0.2982
Ac 0.5000 0.5000 0.5000
Ac 0.5000 0.5000 0.7018
Ac 0.5000 0.5000 0.9024
Mg 0.0000 0.0000 0.2002
Mg 0.0000 0.0000 0.3989
Mg 0.0000 0.0000 0.6011
Mg 0.0000 0.0000 0.7998
Hg 0.0000 0.0000 0.0000
CELL_PARAMETERS angstrom
4.1072 0.0000 0.0000
0.0000 4.1072 0.0000
0.0000 0.0000 20.4357



[4]
! Ac2Mg12Hg7, relaxed, DFT PBE; values from VASP
! - energy of formation from the pure elements (meV per atom) = -293
! - calculated density (g/cm3) = 7.0
! - symmetry = No. 174
! - energy (eV/atom) = -1.70
&SYSTEM
  ibrav = 0, nat = 21, ntyp = 3
/
ATOMIC_SPECIES
Ac 227.00 Ac.upf
Mg 24.30 Mg.upf
Hg 200.59 Hg.upf
ATOMIC_POSITIONS crystal
Ac 0.5000 0.0000 0.0000
Ac 0.0000 0.6667 0.3333
Mg 0.5000 0.9042 0.6207
Mg 0.5000 0.7164 0.0958
Mg 0.5000 0.3793 0.2836
Mg 0.5000 0.2363 0.7973
Mg 0.5000 0.5611 0.7637
Mg 0.5000 0.2027 0.4389
Mg 0.0000 0.0539 0.5472
Mg 0.0000 0.4934 0.9461
Mg 0.0000 0.4528 0.5066
Mg 0.0000 0.7645 0.7152
Mg 0.0000 0.9508 0.2355
Mg 0.0000 0.2848 0.0492
Hg 0.0000 0.3333 0.6667
Hg 0.0000 0.0492 0.7954
Hg 0.0000 0.7462 0.9508
Hg 0.0000 0.2046 0.2538
Hg 0.5000 0.6263 0.5423
Hg 0.5000 0.9159 0.3737
Hg 0.5000 0.4577 0.0841
CELL_PARAMETERS angstrom
-1.8105 -1.6644 -3.6714
1.5947 -10.7162 4.0718
-9.8360 5.6554 2.2867



[5]
! AcMg4Hg2, relaxed, DFT PBE; values from VASP
! - energy of formation from the pure elements (meV per atom) = -265
! - distance to the lowest polymorph of the same formula (meV per atom) = 28
! - calculated density (g/cm3) = 6.6
! - symmetry = No. 65
! - energy (eV/atom) = -1.85
&SYSTEM
  ibrav = 0, nat = 7, ntyp = 3
/
ATOMIC_SPECIES
Ac 227.00 Ac.upf
Mg 24.30 Mg.upf
Hg 200.59 Hg.upf
ATOMIC_POSITIONS crystal
Ac 0.0000 0.0000 0.0000
Mg 0.5000 0.8159 0.6319
Mg 0.0000 0.6857 0.3713
Mg 0.5000 0.1841 0.3681
Mg 0.0000 0.3143 0.6287
Hg 0.5000 0.5839 0.1678
Hg 0.5000 0.4161 0.8322
CELL_PARAMETERS angstrom
4.5188 0.0000 0.0000
0.0000 4.5252 0.0000
0.0000 -2.2626 8.8909



[6]
! Ac3Mg8Hg, relaxed, DFT PBE; values from VASP
! - energy of formation from the pure elements (meV per atom) = -91
! - calculated density (g/cm3) = 5.1
! - symmetry = No. 160
! - energy (eV/atom) = -2.21
&SYSTEM
  ibrav = 0, nat = 12, ntyp = 3
/
ATOMIC_SPECIES
Ac 227.00 Ac.upf
Mg 24.30 Mg.upf
Hg 200.59 Hg.upf
ATOMIC_POSITIONS crystal
Ac 0.6227 0.6227 0.1320
Ac 0.0064 0.0064 0.9808
Ac 0.4957 0.4957 0.5129
Mg 0.5625 0.0628 0.8122
Mg 0.0606 0.5621 0.3167
Mg 0.5625 0.5625 0.8122
Mg 0.0606 0.0606 0.3167
Mg 0.8118 0.8118 0.5647
Mg 0.3121 0.3121 0.0637
Mg 0.0628 0.5625 0.8122
Mg 0.5621 0.0606 0.3167
Hg 0.1303 0.1303 0.6092
CELL_PARAMETERS angstrom
-0.4775 2.4985 5.7400
2.1501 -3.1534 4.9851
9.6562 4.1655 2.4238